Y2BeCo2 | GGA-PBE | optimized geometry

Cell and atoms, written as POSCAR:
```
Y2BeCo2
1.0
4.7629 -2.6375 0.0000
4.7629 2.6375 0.0000
-1.5856 0.0000 6.8230
Y Be Co
4 2 4
Direct
0.0190 0.2796 0.1503
0.2796 0.0190 0.6503
0.7204 0.9810 0.3497
0.9810 0.7204 0.8497
0.3940 0.6060 0.2500
0.6060 0.3940 0.7500
0.2500 0.5016 0.4925
0.4984 0.7500 0.0075
0.5016 0.2500 0.9925
0.7500 0.4984 0.5075
```

Energy of formation in eV/atom: -0.177
SG: C2/c, No. 15
Energy above the lowest structure with this stoichiometry in eV per atom: 0.0213